1.
A plane-wave DFT calculation with PBE-GGA was carried out for an optimized crystal structure of CeMgPd2.

Properties
* energy of formation from the pure elements: -0.66 eV per atom
* size of the total moment: 0.2404 μB/atom

```
data_CeMgPd2
_symmetry_space_group_name_H-M 'P 1'
_symmetry_Int_Tables_number 1
_cell_length_a 3.321
_cell_length_b 3.321
_cell_length_c 6.993
_cell_angle_alpha 90.00
_cell_angle_beta 90.00
_cell_angle_gamma 90.00
loop_
_symmetry_equiv_pos_as_xyz
'x,y,z'
loop_
_atom_site_label
_atom_site_type_symbol
_atom_site_fract_x
_atom_site_fract_y
_atom_site_fract_z
Pd1 Pd 0.000 0.000 0.784
Ce1 Ce 0.500 0.500 0.500
Mg1 Mg 0.500 0.500 0.000
Pd2 Pd 0.000 0.000 0.216
```


2.
A plane-wave DFT calculation with PBE-GGA was carried out for an optimized crystal structure of BCS.

Properties
* raw formation energy: 0.20 eV/atom
* size of the total moment: 0.0000 μB/atom

```
data_BCS
_symmetry_space_group_name_H-M 'P 1'
_symmetry_Int_Tables_number 1
_cell_length_a 4.356
_cell_length_b 4.114
_cell_length_c 5.810
_cell_angle_alpha 90.00
_cell_angle_beta 90.58
_cell_angle_gamma 90.00
loop_
_symmetry_equiv_pos_as_xyz
'x,y,z'
loop_
_atom_site_label
_atom_site_type_symbol
_atom_site_fract_x
_atom_site_fract_y
_atom_site_fract_z
S1 S 0.201 0.269 0.247
B1 B 0.388 0.607 0.090
B2 B 0.612 0.107 0.910
C1 C 0.613 0.473 0.906
S2 S 0.799 0.769 0.753
C2 C 0.387 0.973 0.094
```


3.
A plane-wave DFT calculation with PBE-GGA was carried out for an optimized crystal structure of Cs2HgPtAu.

Properties
* energy of formation from the pure elements: -0.09 eV per atom
* size of the total moment: 0.0000 μB/atom

```
data_Cs2HgPtAu
_symmetry_space_group_name_H-M 'P 1'
_symmetry_Int_Tables_number 1
_cell_length_a 6.573
_cell_length_b 5.251
_cell_length_c 6.573
_cell_angle_alpha 90.00
_cell_angle_beta 90.00
_cell_angle_gamma 90.00
loop_
_symmetry_equiv_pos_as_xyz
'x,y,z'
loop_
_atom_site_label
_atom_site_type_symbol
_atom_site_fract_x
_atom_site_fract_y
_atom_site_fract_z
Cs1 Cs 0.000 0.000 0.500
Hg1 Hg 0.000 0.500 0.000
Au1 Au 0.500 0.500 0.500
Cs2 Cs 0.500 0.000 0.000
Pt1 Pt 0.000 0.000 0.000
```


4.
A plane-wave DFT calculation with PBE-GGA was carried out for an optimized crystal structure of Pr3HoEr2.

Properties
* energy of formation from the pure elements: 0.05 eV per atom
* size of the total moment: 0.0000 μB/atom

```
data_Pr3HoEr2
_symmetry_space_group_name_H-M 'P 1'
_symmetry_Int_Tables_number 1
_cell_length_a 3.704
_cell_length_b 8.585
_cell_length_c 12.735
_cell_angle_alpha 89.94
_cell_angle_beta 90.00
_cell_angle_gamma 90.00
loop_
_symmetry_equiv_pos_as_xyz
'x,y,z'
loop_
_atom_site_label
_atom_site_type_symbol
_atom_site_fract_x
_atom_site_fract_y
_atom_site_fract_z
Er1 Er 0.250 0.925 0.109
Pr1 Pr 0.750 0.085 0.612
Pr2 Pr 0.250 0.392 0.746
Ho1 Ho 0.250 0.805 0.745
Pr3 Pr 0.250 0.915 0.388
Ho2 Ho 0.750 0.195 0.255
Pr4 Pr 0.750 0.608 0.254
Er2 Er 0.750 0.647 0.547
Pr5 Pr 0.250 0.342 0.054
Er3 Er 0.750 0.075 0.891
Er4 Er 0.250 0.353 0.453
Pr6 Pr 0.750 0.658 0.946
```


Q: Which formula does entry 4 have?
A: Pr3HoEr2